A) The following is a PBE-GGA calculation of CaZn2Re after structural relaxation, from Alexandria via LeMat-Bulk.

Calculated values
DOS at the Fermi energy: 0.913 states/eV/atom
calculated density: 8466 kg/m3

Lattice parameters (Å, degrees): 4.6268 4.6268 4.6268 60.00 60.00 60.00
Closest atoms and distances in Å follow each position.
Fractional coordinates of all 4 atoms:
Ca (0.0000, 0.0000, 0.0000)  8 Zn 2.83
Zn (0.2500, 0.2500, 0.2500)  4 Re 2.83, 4 Ca 2.83
Zn (0.7500, 0.7500, 0.7500)  4 Re 2.83, 4 Ca 2.83
Re (0.5000, 0.5000, 0.5000)  8 Zn 2.83

B) The following is a PBE-GGA calculation of CaZn2Re after structural relaxation, from Alexandria via LeMat-Bulk.

Calculated values
DOS at the Fermi energy: 0.832 states/eV/atom
calculated density: 8812 kg/m3

Lattice parameters (Å, degrees): 4.9641 4.9641 2.8336 90.00 90.00 105.48
Closest atoms and distances in Å follow each position.
Fractional coordinates of all 4 atoms:
Ca (0.0000, 0.0000, 0.0000)  2 Ca 2.83, 8 Zn 2.86, 2 Re 3.01
Zn (0.0000, 0.5000, 0.5000)  4 Zn 2.83-3.01, 4 Re 2.86, 4 Ca 2.86
Zn (0.5000, 0.0000, 0.5000)  4 Zn 2.83-3.01, 4 Re 2.86, 4 Ca 2.86
Re (0.5000, 0.5000, 0.0000)  2 Re 2.83, 8 Zn 2.86, 2 Ca 3.01

C) The following is a PBE-GGA calculation of CaZn2Re after structural relaxation, from Alexandria via LeMat-Bulk.

Calculated values
DOS at the Fermi energy: 0.939 states/eV/atom
calculated density: 8263 kg/m3

Lattice parameters (Å, degrees): 3.3563 3.3563 6.3708 90.00 90.00 90.00
Closest atoms and distances in Å follow each position.
Fractional coordinates of all 4 atoms:
Ca (0.0000, 0.0000, 0.0000)  8 Zn 3.06, 2 Re 3.19, 4 Ca 3.36
Zn (0.5000, 0.5000, 0.3031)  1 Zn 2.51, 4 Re 2.68
Zn (0.5000, 0.5000, 0.6969)  1 Zn 2.51, 4 Re 2.68
Re (0.0000, 0.0000, 0.5000)  8 Zn 2.68

D) The following is a PBE-GGA calculation of CaZn2Re after structural relaxation, from Alexandria via LeMat-Bulk.

Calculated values
DOS at the Fermi energy: 1.383 states/eV/atom
calculated density: 8281 kg/m3

Lattice parameters (Å, degrees): 4.6612 4.6612 4.6612 60.00 60.00 60.00
Closest atoms and distances in Å follow each position.
Fractional coordinates of all 4 atoms:
Ca (0.0000, 0.0000, 0.0000)  4 Re 2.85, 4 Zn 2.85
Zn (0.2500, 0.2500, 0.2500)  4 Ca 2.85, 4 Zn 2.85
Zn (0.5000, 0.5000, 0.5000)  4 Re 2.85, 4 Zn 2.85
Re (0.7500, 0.7500, 0.7500)  4 Ca 2.85, 4 Zn 2.85

Verdict on stability: D) comes out at the bottom.

A) The following is a PBE-GGA calculation of CaZnRe after structural relaxation, from Alexandria via LeMat-Bulk.

Calculated values
DOS at the Fermi energy: 1.114 states/eV/atom
calculated density: 7350 kg/m3

Lattice parameters (Å, degrees): 4.5339 4.5339 4.5339 60.00 60.00 60.00
Closest atoms and distances in Å follow each position.
Fractional coordinates of all 3 atoms:
Ca (0.0000, 0.0000, 0.0000)  4 Zn 2.78
Zn (0.2500, 0.2500, 0.2500)  4 Re 2.78, 4 Ca 2.78
Re (0.5000, 0.5000, 0.5000)  4 Zn 2.78

B) The following is a PBE-GGA calculation of CaZnRe after structural relaxation, from Alexandria via LeMat-Bulk.

Calculated values
DOS at the Fermi energy: 0.616 states/eV/atom
calculated density: 6496 kg/m3

Lattice parameters (Å, degrees): 4.7245 4.7245 4.7245 60.00 60.00 60.00
Closest atoms and distances in Å follow each position.
Fractional coordinates of all 3 atoms:
Ca (0.0000, 0.0000, 0.0000)  4 Re 2.89, 4 Zn 2.89
Zn (0.2500, 0.2500, 0.2500)  4 Ca 2.89
Re (0.7500, 0.7500, 0.7500)  4 Ca 2.89

C) The following is a PBE-GGA calculation of CaZnRe after structural relaxation, from Alexandria via LeMat-Bulk.

Calculated values
DOS at the Fermi energy: 0.811 states/eV/atom
calculated density: 8338 kg/m3

Lattice parameters (Å, degrees): 5.7239 5.7239 5.7239 151.14 139.86 50.19
Closest atoms and distances in Å follow each position.
Fractional coordinates of all 3 atoms:
Ca (0.0000, 0.0000, 0.0000)  2 Ca 2.85, 1 Zn 3.04, 5 Re 3.13-3.18
Zn (0.7068, 0.7068, 0.0000)  4 Re 2.62, 2 Zn 2.85
Re (0.3015, 0.3015, 0.0000)  4 Zn 2.62, 2 Re 2.85

Verdict on stability: B) comes out at the bottom.

A) The following is a PBE-GGA calculation of CaZnRe after structural relaxation, from Alexandria via LeMat-Bulk.

Calculated values
DOS at the Fermi energy: 0.714 states/eV/atom
calculated density: 9003 kg/m3

Lattice parameters (Å, degrees): 7.1897 7.1897 7.1897 157.63 157.63 31.85
Closest atoms and distances in Å follow each position.
Fractional coordinates of all 3 atoms:
Ca (0.0000, 0.0000, 0.0000)  4 Ca 2.79
Zn (0.3225, 0.3225, 0.0000)  4 Zn 2.79, 4 Re 2.80
Re (0.6783, 0.6783, 0.0000)  4 Re 2.79, 4 Zn 2.80

B) The following is a PBE-GGA calculation of CaZnRe after structural relaxation, from Alexandria via LeMat-Bulk.

Calculated values
DOS at the Fermi energy: 0.923 states/eV/atom
calculated density: 8804 kg/m3

Lattice parameters (Å, degrees): 4.8465 4.8465 2.7047 90.00 90.00 120.00
Closest atoms and distances in Å follow each position.
Fractional coordinates of all 3 atoms:
Ca (0.0000, 0.0000, 0.0000)  2 Ca 2.70
Zn (0.3333, 0.6667, 0.5033)  2 Zn 2.70, 3 Re 2.80
Re (0.6667, 0.3333, 0.4987)  2 Re 2.70, 3 Zn 2.80

Verdict on stability: B) comes out at the bottom.

A) The following is a PBE-GGA calculation of CaZn3Re after structural relaxation, from Alexandria via LeMat-Bulk.

Calculated values
DOS at the Fermi energy: 0.943 states/eV/atom
calculated density: 4822 kg/m3

Lattice parameters (Å, degrees): 5.2598 5.2598 5.2598 90.00 90.00 90.00
Closest atoms and distances in Å follow each position.
Fractional coordinates of all 5 atoms:
Ca (0.0000, 0.0000, 0.0000)  6 Zn 2.63
Zn (0.0000, 0.0000, 0.5000)  2 Ca 2.63
Zn (0.0000, 0.5000, 0.0000)  2 Ca 2.63
Zn (0.5000, 0.0000, 0.0000)  2 Ca 2.63
Re (0.5000, 0.5000, 0.5000)  12 Zn 3.72

B) The following is a PBE-GGA calculation of CaZn3Re after structural relaxation, from Alexandria via LeMat-Bulk.

Calculated values
DOS at the Fermi energy: 0.614 states/eV/atom
calculated density: 6144 kg/m3

Lattice parameters (Å, degrees): 4.8516 4.8516 4.8516 90.00 90.00 90.00
Closest atoms and distances in Å follow each position.
Fractional coordinates of all 5 atoms:
Ca (0.0000, 0.0000, 0.0000)  12 Zn 3.43
Zn (0.0000, 0.5000, 0.5000)  2 Re 2.43
Zn (0.5000, 0.0000, 0.5000)  2 Re 2.43
Zn (0.5000, 0.5000, 0.0000)  2 Re 2.43
Re (0.5000, 0.5000, 0.5000)  6 Zn 2.43

Verdict on stability: A) comes out at the bottom.

A) The following is a PBE-GGA calculation of CaZrRe2 after structural relaxation, from Alexandria via LeMat-Bulk.

Calculated values
DOS at the Fermi energy: 1.191 states/eV/atom
calculated density: 11432 kg/m3

Lattice parameters (Å, degrees): 3.2853 4.6948 4.7437 90.00 90.00 90.00
Closest atoms and distances in Å follow each position.
Fractional coordinates of all 4 atoms:
Ca (0.0000, 0.0000, 0.0000)  4 Re 2.87, 4 Zr 2.89
Zr (0.5000, 0.0000, 0.5000)  4 Re 2.87, 4 Ca 2.89
Re (0.0000, 0.5000, 0.5000)  4 Zr 2.87, 4 Re 2.89
Re (0.5000, 0.5000, 0.0000)  4 Ca 2.87, 4 Re 2.89

B) The following is a PBE-GGA calculation of CaZrRe2 after structural relaxation, from Alexandria via LeMat-Bulk.

Calculated values
DOS at the Fermi energy: 1.110 states/eV/atom
calculated density: 9833 kg/m3

Lattice parameters (Å, degrees): 3.1036 3.1036 8.8309 90.00 90.00 90.00
Closest atoms and distances in Å follow each position.
Fractional coordinates of all 4 atoms:
Ca (0.0000, 0.0000, 0.0000)  4 Ca 3.10, 4 Re 3.16
Zr (0.5000, 0.5000, 0.6353)  4 Re 2.94, 4 Zr 3.10
Re (0.0000, 0.0000, 0.4144)  4 Re 2.60
Re (0.5000, 0.5000, 0.2574)  4 Re 2.60

Verdict on stability: A) comes out at the bottom.

A) The following is a PBE-GGA calculation of CaZrRe2 after structural relaxation, from Alexandria via LeMat-Bulk.

Calculated values
DOS at the Fermi energy: 0.880 states/eV/atom
calculated density: 11338 kg/m3

Lattice parameters (Å, degrees): 5.5303 5.5303 5.5303 145.71 128.47 63.37
Closest atoms and distances in Å follow each position.
Fractional coordinates of all 4 atoms:
Ca (0.0000, 0.0000, 0.0000)  4 Zr 2.90, 4 Re 2.94
Zr (0.5000, 0.5000, 0.0000)  4 Re 2.79, 4 Ca 2.90
Re (0.2594, 0.7594, 0.5000)  2 Zr 2.79, 4 Re 2.91, 2 Ca 2.94
Re (0.7406, 0.2406, 0.5000)  2 Zr 2.79, 4 Re 2.91, 2 Ca 2.94

B) The following is a PBE-GGA calculation of CaZrRe2 after structural relaxation, from Alexandria via LeMat-Bulk.

Calculated values
DOS at the Fermi energy: 0.857 states/eV/atom
calculated density: 10403 kg/m3

Lattice parameters (Å, degrees): 2.8665 4.6225 6.1357 90.00 98.52 90.00
Closest atoms and distances in Å follow each position.
Fractional coordinates of all 4 atoms:
Ca (0.0000, 0.0000, 0.0000)  2 Ca 2.87, 4 Re 3.11, 2 Zr 3.19
Zr (0.5000, 0.0000, 0.5000)  4 Re 2.77, 2 Zr 2.87
Re (0.2243, 0.5000, 0.6939)  1 Re 2.53, 2 Zr 2.77
Re (0.7757, 0.5000, 0.3061)  1 Re 2.53, 2 Zr 2.77

C) The following is a PBE-GGA calculation of CaZrRe2 after structural relaxation, from Alexandria via LeMat-Bulk.

Calculated values
DOS at the Fermi energy: 1.138 states/eV/atom
calculated density: 11043 kg/m3

Lattice parameters (Å, degrees): 4.9137 4.9137 3.1371 90.00 90.00 90.00
Closest atoms and distances in Å follow each position.
Fractional coordinates of all 4 atoms:
Ca (0.0000, 0.0000, 0.0000)  8 Re 2.91, 2 Ca 3.14
Zr (0.5000, 0.5000, 0.0000)  8 Re 2.91, 2 Zr 3.14
Re (0.0000, 0.5000, 0.5000)  4 Zr 2.91, 4 Ca 2.91, 2 Re 3.14
Re (0.5000, 0.0000, 0.5000)  4 Zr 2.91, 4 Ca 2.91, 2 Re 3.14

D) The following is a PBE-GGA calculation of CaZrRe2 after structural relaxation, from Alexandria via LeMat-Bulk.

Calculated values
DOS at the Fermi energy: 1.516 states/eV/atom
calculated density: 11058 kg/m3

Lattice parameters (Å, degrees): 4.7470 4.7470 4.7470 60.00 60.00 60.00
Closest atoms and distances in Å follow each position.
Fractional coordinates of all 4 atoms:
Ca (0.0000, 0.0000, 0.0000)  8 Re 2.91
Zr (0.5000, 0.5000, 0.5000)  8 Re 2.91
Re (0.2500, 0.2500, 0.2500)  4 Zr 2.91, 4 Ca 2.91
Re (0.7500, 0.7500, 0.7500)  4 Zr 2.91, 4 Ca 2.91

Verdict on stability: C) comes out at the bottom.

A) The following is a PBE-GGA calculation of CaZrRe2 after structural relaxation, from Alexandria via LeMat-Bulk.

Calculated values
DOS at the Fermi energy: 1.300 states/eV/atom
calculated density: 11111 kg/m3

Lattice parameters (Å, degrees): 4.0370 4.0370 4.6189 90.00 90.00 90.00
Closest atoms and distances in Å follow each position.
Fractional coordinates of all 4 atoms:
Ca (0.0000, 0.0000, 0.0000)  4 Zr 2.85, 8 Re 3.07
Zr (0.5000, 0.5000, 0.0000)  4 Ca 2.85, 8 Re 3.07
Re (0.0000, 0.5000, 0.5000)  4 Re 2.85, 4 Zr 3.07, 4 Ca 3.07
Re (0.5000, 0.0000, 0.5000)  4 Re 2.85, 4 Zr 3.07, 4 Ca 3.07

B) The following is a PBE-GGA calculation of CaZrRe2 after structural relaxation, from Alexandria via LeMat-Bulk.

Calculated values
DOS at the Fermi energy: 1.627 states/eV/atom
calculated density: 11231 kg/m3

Lattice parameters (Å, degrees): 10.4327 10.4327 10.4327 15.92 15.92 15.92
Closest atoms and distances in Å follow each position.
Fractional coordinates of all 4 atoms:
Ca (0.0000, 0.0000, 0.0000)  6 Ca 2.89, 6 Re 3.10
Zr (0.5000, 0.5000, 0.5000)  6 Zr 2.89, 6 Re 3.04
Re (0.2489, 0.2489, 0.2489)  6 Re 2.89, 3 Zr 3.04, 3 Ca 3.10
Re (0.7511, 0.7511, 0.7511)  6 Re 2.89, 3 Zr 3.04, 3 Ca 3.10

C) The following is a PBE-GGA calculation of CaZrRe2 after structural relaxation, from Alexandria via LeMat-Bulk.

Calculated values
DOS at the Fermi energy: 0.957 states/eV/atom
calculated density: 10568 kg/m3

Lattice parameters (Å, degrees): 5.7756 5.7756 5.7756 147.51 129.45 61.38
Closest atoms and distances in Å follow each position.
Fractional coordinates of all 4 atoms:
Ca (0.0000, 0.0000, 0.0000)  6 Re 2.97-3.12, 4 Zr 3.22-3.29, 2 Ca 3.23
Zr (0.2809, 0.7809, 0.5000)  6 Re 2.99-3.02, 4 Ca 3.22-3.29, 2 Zr 3.23
Re (0.5382, 0.5382, 0.0000)  2 Re 2.50
Re (0.7307, 0.2307, 0.5000)  2 Re 2.50

Verdict on stability: A) comes out at the bottom.

A) The following is a PBE-GGA calculation of CaZrRe2 after structural relaxation, from Alexandria via LeMat-Bulk.

Calculated values
DOS at the Fermi energy: 1.167 states/eV/atom
calculated density: 11084 kg/m3

Lattice parameters (Å, degrees): 5.5717 5.5717 2.6520 90.00 90.00 113.57
Closest atoms and distances in Å follow each position.
Fractional coordinates of all 4 atoms:
Ca (0.0000, 0.0000, 0.0000)  2 Ca 2.65
Zr (0.5000, 0.5000, 0.0000)  2 Zr 2.65
Re (0.0000, 0.5000, 0.5000)  2 Re 2.65
Re (0.5000, 0.0000, 0.5000)  2 Re 2.65

B) The following is a PBE-GGA calculation of CaZrRe2 after structural relaxation, from Alexandria via LeMat-Bulk.

Calculated values
DOS at the Fermi energy: 0.687 states/eV/atom
calculated density: 11434 kg/m3

Lattice parameters (Å, degrees): 4.6944 4.6944 4.6944 60.00 60.00 60.00
Closest atoms and distances in Å follow each position.
Fractional coordinates of all 4 atoms:
Ca (0.0000, 0.0000, 0.0000)  4 Zr 2.87, 4 Re 2.87
Zr (0.7500, 0.7500, 0.7500)  4 Ca 2.87, 4 Re 2.87
Re (0.2500, 0.2500, 0.2500)  4 Re 2.87, 4 Ca 2.87
Re (0.5000, 0.5000, 0.5000)  4 Zr 2.87, 4 Re 2.87

C) The following is a PBE-GGA calculation of CaZrRe2 after structural relaxation, from Alexandria via LeMat-Bulk.

Calculated values
DOS at the Fermi energy: 0.786 states/eV/atom
calculated density: 11251 kg/m3

Lattice parameters (Å, degrees): 2.8740 2.8740 9.5413 90.00 90.00 109.38
Closest atoms and distances in Å follow each position.
Fractional coordinates of all 4 atoms:
Ca (0.0000, 0.0000, 0.0000)  4 Ca 2.87, 4 Re 3.03
Zr (0.0000, 0.0000, 0.5000)  4 Re 2.79, 4 Zr 2.87
Re (0.5000, 0.5000, 0.2652)  2 Zr 2.79, 4 Re 2.87, 2 Ca 3.03
Re (0.5000, 0.5000, 0.7348)  2 Zr 2.79, 4 Re 2.87, 2 Ca 3.03

D) The following is a PBE-GGA calculation of CaZrRe2 after structural relaxation, from Alexandria via LeMat-Bulk.

Calculated values
DOS at the Fermi energy: 0.876 states/eV/atom
calculated density: 9591 kg/m3

Lattice parameters (Å, degrees): 3.5781 3.5781 6.8121 90.00 90.00 90.00
Closest atoms and distances in Å follow each position.
Fractional coordinates of all 4 atoms:
Ca (0.0000, 0.0000, 0.0000)  8 Re 3.34, 2 Zr 3.41, 4 Ca 3.58
Zr (0.0000, 0.0000, 0.5000)  8 Re 2.81
Re (0.5000, 0.5000, 0.3203)  1 Re 2.45
Re (0.5000, 0.5000, 0.6797)  1 Re 2.45

Verdict on stability: A) comes out at the bottom.